# 1
HoCuTeO6: relaxed, PBE-GGA.

Calculated values
E in eV per atom: -6.09
Volume in Å³/cell: 226.1
N(E_F) in states/eV/f.u.: 4.1
Symmetry: P4_2nm
Crystal system: tetragonal
ΔE_f (raw) in eV per atom: -1.468

Cell: 4.866 4.866 9.551 Å, 90.00 90.00 90.00°
Site moments in Bohr magnetons follow the coordinates.
Fractional coordinates of all 18 atoms:
Ho 0.500 0.500 0.172  0.03
Ho 0.000 0.000 0.672  0.03
Cu 0.500 0.500 0.501  0.84
Cu 0.000 0.000 0.001  0.84
Te 0.500 0.500 0.834  0.00
Te 0.000 0.000 0.334  0.00
O 0.196 0.804 0.482  0.16
O 0.804 0.196 0.482  0.16
O 0.304 0.304 0.982  0.16
O 0.696 0.696 0.982  0.16
O 0.177 0.823 0.173  0.20
O 0.823 0.177 0.173  0.20
O 0.323 0.323 0.673  0.20
O 0.677 0.677 0.673  0.20
O 0.785 0.215 0.842  0.17
O 0.215 0.785 0.842  0.17
O 0.715 0.715 0.342  0.17
O 0.285 0.285 0.342  0.17

***

# 2
Ac2CdGa3Au4: relaxed, PBE-GGA.

Calculated values
E in eV per atom: -3.76
Volume in Å³/cell: 230.8
N(E_F) in states/eV/f.u.: 5.3
Symmetry: P-4m2
Crystal system: tetragonal

Cell: 4.623 4.623 10.802 Å, 90.00 90.00 90.00°
Fractional coordinates of all 10 atoms:
Ac 0.500 0.000 0.242
Ac 0.000 0.500 0.758
Cd 0.500 0.500 0.500
Ga 0.000 0.000 0.500
Ga 0.500 0.000 0.877
Ga 0.000 0.500 0.123
Au 0.500 0.500 0.000
Au 0.000 0.000 0.000
Au 0.500 0.000 0.641
Au 0.000 0.500 0.359